[1]
Below is crystalline Sc2CdIr at its relaxed geometry, with properties calculated at the PBE level. Values from VASP.

Structure (Quantum ESPRESSO input):
```
&SYSTEM
  ibrav = 0, nat = 4, ntyp = 3
/
ATOMIC_SPECIES
Sc 44.96 Sc.upf
Ir 192.22 Ir.upf
Cd 112.41 Cd.upf
CELL_PARAMETERS angstrom
4.094 -2.760 9.015
4.293 -5.449 7.585
6.492 -3.363 7.225
ATOMIC_POSITIONS angstrom
Sc 13.674 -10.634 21.897
Sc 1.205 -0.937 1.929
Ir 0.000 0.000 0.000
Cd 7.440 -5.786 11.913
```

* ΔE_f: 0.37 eV per formula unit
* space group: R-3m



[2]
Below is crystalline Sc4CdIr at its relaxed geometry, with properties calculated at the PBE level. Values from VASP.

Structure (Quantum ESPRESSO input):
```
&SYSTEM
  ibrav = 0, nat = 6, ntyp = 3
/
ATOMIC_SPECIES
Sc 44.96 Sc.upf
Cd 112.41 Cd.upf
Ir 192.22 Ir.upf
CELL_PARAMETERS angstrom
-3.564 2.447 1.770
-1.312 -0.667 4.445
3.249 6.060 4.329
ATOMIC_POSITIONS angstrom
Sc -2.773 1.722 4.366
Sc 1.146 6.118 6.178
Sc 1.580 4.192 3.552
Sc -3.207 3.648 6.992
Cd -0.814 3.920 5.272
Ir 0.000 0.000 0.000
```

* offset from the most stable computed form: 220 meV per atom
* ΔE_f: -1.74 eV per formula unit
* space group: C2/m



[3]
Below is crystalline Sc2Cd2Ir at its relaxed geometry, with properties calculated at the PBE level. Values from VASP.

Structure (Quantum ESPRESSO input):
```
&SYSTEM
  ibrav = 0, nat = 10, ntyp = 3
/
ATOMIC_SPECIES
Sc 44.96 Sc.upf
Ir 192.22 Ir.upf
Cd 112.41 Cd.upf
CELL_PARAMETERS angstrom
-3.698 1.292 6.039
5.983 -0.994 3.876
0.843 3.862 -0.310
ATOMIC_POSITIONS angstrom
Sc 3.818 1.487 3.538
Sc 2.842 1.988 7.123
Sc -0.689 2.673 6.067
Sc 0.286 2.172 2.482
Ir 0.000 0.000 0.000
Ir 1.143 0.149 4.958
Cd 3.830 -0.388 5.577
Cd 0.581 0.491 7.690
Cd -1.545 0.686 4.338
Cd 1.704 -0.193 2.226
```

* offset from the most stable computed form: 483 meV per atom
* ΔE_f: -0.35 eV per formula unit
* space group: P4/mbm